[1]
Crystalline KOsCl5 at its relaxed geometry, computed with GGA-PBE.

The structure in extended XYZ format:
```
14
Lattice="-5.5595 -3.7240 4.1554 -0.4527 -7.8371 0.6463 3.6727 -2.2557 7.9888" Properties=species:S:1:pos:R:3 pbc="T T T"
K -2.2011 -6.2534 4.4758
Cl -3.7814 -6.9770 7.1773
Cl 1.4419 -6.8399 5.6132
Cl 0.9724 -10.4547 9.1670
Cl -1.6079 -8.2714 11.7616
Cl -0.0469 -7.9884 2.9956
Cl -0.7316 -5.5455 1.0290
Cl -1.7505 -4.3736 6.9853
Cl -0.5890 -9.4432 5.8052
Os 0.0000 0.0000 0.0000
Cl -2.2927 -5.8284 9.7950
Os 1.8363 -1.1279 3.9944
K -0.1384 -7.5635 8.3147
Cl -3.3119 -3.3622 3.6235
```

Results
The calculation puts the total energy at -3.887 eV/atom. The value obtained for the uncorrected formation energy is -807 meV per atom. Its symmetry is No. 15. The calculated volume is 441.51 Å³/cell.

[2]
Crystalline KOsCl at its relaxed geometry, computed with GGA-PBE.

The structure in extended XYZ format:
```
3
Lattice="-0.3579 0.6547 -5.1417 -4.6427 -0.1827 -2.3251 -2.1135 4.3381 -1.9255" Properties=species:S:1:pos:R:3 pbc="T T T"
Cl 0.0000 0.0000 0.0000
Os -5.3356 3.6076 -7.0442
K -3.5571 2.4051 -4.6961
```

Results
The calculation puts the total energy at -3.212 eV/atom. The value obtained for the uncorrected formation energy is 1512 meV per atom. Its symmetry is No. 216. For the distance to the lowest polymorph of the same formula, the calculation gives 14.25 kcal/mol of atoms. The calculated volume is 99.17 Å³/cell.

[3]
Crystalline K5Os2Cl12 at its relaxed geometry, computed with GGA-PBE.

The structure in extended XYZ format:
```
19
Lattice="-5.8992 4.1215 -1.9570 0.7956 -7.9685 -4.9704 -4.4958 -2.2939 8.7210" Properties=species:S:1:pos:R:3 pbc="T T T"
K -2.2479 -1.1469 4.3605
Cl -8.8816 -5.7062 0.5454
Cl -0.7177 -0.4346 1.2482
K -5.5928 -1.2835 -0.0539
Cl -7.6604 0.0312 1.8028
Cl -5.9206 -7.7637 1.4964
Cl -4.3071 -7.3833 4.3886
Cl -2.4050 -0.7747 -1.6371
K -2.1728 -4.1199 -2.1269
K -7.4265 -2.0209 3.9205
Os -1.4690 1.0263 -0.4873
Os -4.4302 3.0952 -1.4697
K -4.0065 -4.8573 1.8476
Cl -4.6943 -2.0410 2.7868
Cl -1.9390 -6.1720 -0.0092
Cl -7.1944 -5.3661 3.4308
Cl -5.2922 1.2425 -2.5950
Cl -4.9050 -4.0998 -0.9932
Cl -3.6787 1.6229 0.2972
```

Results
The calculation puts the total energy at -3.773 eV/atom. The value obtained for the uncorrected formation energy is -1135 meV per atom. Its symmetry is No. 12. The calculated volume is 614.40 Å³/cell.

[4]
Crystalline K4Os2Cl at its relaxed geometry, computed with GGA-PBE.

The structure in extended XYZ format:
```
7
Lattice="6.4036 0.0000 0.0000 0.0000 6.4036 0.0000 3.2018 3.2018 7.5885" Properties=species:S:1:pos:R:3 pbc="T T T"
Cl 0.0000 0.0000 0.0000
K 0.0000 3.2018 0.0000
Os 6.4036 6.4036 6.4624
K 3.2018 0.0000 0.0000
Os 3.2018 3.2018 1.1261
K 3.2018 3.2018 4.5996
K 6.4036 6.4036 2.9889
```

Results
The calculation puts the total energy at -3.495 eV/atom. The value obtained for the uncorrected formation energy is 605 meV per atom. Its symmetry is No. 139. The calculated volume is 311.18 Å³/cell.

[5]
Crystalline KOsCl at its relaxed geometry, computed with GGA-PBE.

The structure in extended XYZ format:
```
3
Lattice="-0.9636 3.7722 -3.3415 -2.5653 -1.0009 -4.3291 -4.7918 1.7324 -0.6014" Properties=species:S:1:pos:R:3 pbc="T T T"
K 0.0000 0.0000 0.0000
Os -4.1603 2.2518 -4.1360
Cl -6.2405 3.3778 -6.2041
```

Results
The calculation puts the total energy at -3.379 eV/atom. The value obtained for the uncorrected formation energy is 1346 meV per atom. Its symmetry is No. 216. For the distance to the lowest polymorph of the same formula, the calculation gives 10.42 kcal/mol of atoms. The calculated volume is 95.50 Å³/cell.

[6]
Crystalline KOs2Cl2 at its relaxed geometry, computed with GGA-PBE.

The structure in extended XYZ format:
```
5
Lattice="3.5504 0.0000 0.0000 0.0000 3.5504 0.0000 1.7752 1.7752 9.0639" Properties=species:S:1:pos:R:3 pbc="T T T"
K 0.0000 0.0000 0.0000
Cl 3.5504 3.5504 7.1800
Os 3.5504 1.7752 4.5319
Os 1.7752 3.5504 4.5319
Cl 1.7752 1.7752 1.8838
```

Results
The calculation puts the total energy at -5.070 eV/atom. The value obtained for the uncorrected formation energy is 380 meV per atom. Its symmetry is No. 139. For the distance to the lowest polymorph of the same formula, the calculation gives 0.00 kcal/mol of atoms. The calculated volume is 114.25 Å³/cell.

[7]
Crystalline KOs2Cl8 at its relaxed geometry, computed with GGA-PBE.

The structure in extended XYZ format:
```
11
Lattice="-3.4235 -3.4184 -0.8142 1.2753 4.1579 -8.4404 3.5533 -7.9019 3.5716" Properties=species:S:1:pos:R:3 pbc="T T T"
Cl -0.5631 -6.5072 0.1779
Cl -1.4106 -0.6865 -6.2965
Cl -0.3871 -2.3406 -3.6499
Cl 1.9681 -0.6551 -5.8610
K 1.4050 -7.1624 -5.6829
Os 1.2879 -4.8423 0.1873
Cl 1.7921 -4.8218 -2.0332
Cl -0.3203 -3.1604 -0.1311
Os 0.1171 -2.3200 -5.8704
Cl 2.8156 -6.4758 0.6134
Cl 1.7252 -4.0018 -5.5521
```

Results
The calculation puts the total energy at -3.989 eV/atom. The value obtained for the uncorrected formation energy is -505 meV per atom. Its symmetry is No. 2. The calculated volume is 315.82 Å³/cell.

[8]
Crystalline KOsCl at its relaxed geometry, computed with GGA-PBE.

The structure in extended XYZ format:
```
3
Lattice="-2.8371 6.2738 1.8636 -5.9743 3.2585 2.1383 4.9463 -5.1392 0.0777" Properties=species:S:1:pos:R:3 pbc="T T T"
Cl -0.0894 0.0967 0.0406
K -3.0428 3.2917 1.3820
Os -5.6793 6.1440 2.5794
```

Results
The calculation puts the total energy at -3.817 eV/atom. The value obtained for the uncorrected formation energy is 908 meV per atom. Its symmetry is No. 107. For the distance to the lowest polymorph of the same formula, the calculation gives 0.31 kcal/mol of atoms. The calculated volume is 64.56 Å³/cell.

[9]
Crystalline KOsCl6 at its relaxed geometry, computed with GGA-PBE.

The structure in extended XYZ format:
```
16
Lattice="-1.1389 -2.6178 6.1695 -3.2169 -5.5591 -2.2273 9.3357 -5.6792 -0.3210" Properties=species:S:1:pos:R:3 pbc="T T T"
Os 3.0594 -5.6191 -1.2742
Cl -3.4621 -6.6264 3.1556
Cl -2.1582 -5.2750 0.4622
Os -0.5695 -1.3089 3.0847
Cl 1.6678 -6.8774 0.0767
K -0.8412 -6.9197 -2.1386
Cl 1.2151 -9.4528 3.0327
K 5.8210 -6.9364 5.7597
Cl 3.7648 -4.4033 0.5884
Cl 8.4419 -7.2297 0.4656
Cl 3.3121 -6.9787 3.5445
Cl 7.1381 -8.5811 3.1589
Cl 0.1919 -6.7197 4.5375
Cl 1.0529 -2.9765 3.0132
Cl 3.9270 -10.8795 0.6079
Cl 4.7880 -7.1363 -0.9163
```

Results
The calculation puts the total energy at -3.771 eV/atom. The value obtained for the uncorrected formation energy is -845 meV per atom. Its symmetry is No. 15. For the distance to the lowest polymorph of the same formula, the calculation gives 0.00 kcal/mol of atoms. The calculated volume is 502.40 Å³/cell.

[10]
Crystalline K3OsCl8 at its relaxed geometry, computed with GGA-PBE.

The structure in extended XYZ format:
```
24
Lattice="9.1479 0.0000 0.0000 0.0000 8.2113 -4.7408 0.0000 0.0000 9.4816" Properties=species:S:1:pos:R:3 pbc="T T T"
Cl 7.3161 6.4313 1.6577
Cl 4.6468 4.5271 -1.6405
Cl 2.7422 4.6512 4.7408
Cl 4.6468 4.5271 1.6405
Os 5.9587 5.4742 0.0000
Cl 1.5145 5.4742 0.0000
Cl 6.0884 2.7371 4.7408
Cl 7.3161 3.5601 0.0000
Cl 2.7422 1.7801 3.0831
Cl 7.3161 6.4313 -1.6577
Cl 2.7422 1.7801 6.3985
K 6.3227 1.2511 7.3146
K 1.7488 6.9602 -2.5738
K 1.7488 6.9602 2.5738
Cl 0.0729 0.8428 4.7408
K 6.3227 5.7090 4.7408
Cl 0.0729 3.6842 3.1003
K 6.3227 1.2511 2.1670
K 1.7488 2.5023 0.0000
Cl 4.6468 7.3685 0.0000
Cl 4.2023 0.0000 0.0000
Os 1.3848 2.7371 4.7408
Cl 8.7762 0.0000 0.0000
Cl 0.0729 3.6842 6.3813
```

Results
The calculation puts the total energy at -3.614 eV/atom. The value obtained for the uncorrected formation energy is -1173 meV per atom. Its symmetry is No. 186. The calculated volume is 712.22 Å³/cell.

[11]
Crystalline K2OsPbCl8 at its relaxed geometry, computed with GGA-PBE.

The structure in extended XYZ format:
```
12
Lattice="6.8344 -0.1035 -0.0039 -0.0758 6.6819 -0.0070 0.0043 0.0108 8.5945" Properties=species:S:1:pos:R:3 pbc="T T T"
K 3.3814 3.2941 6.5285
Cl 5.9863 1.3108 6.8832
K 3.3815 3.2950 2.0551
Cl 5.9801 1.3021 1.7012
Cl 4.5497 4.9033 4.2917
Os 0.0000 0.0000 0.0000
Cl 0.7766 5.2783 1.7004
Cl 2.2132 1.6858 4.2919
Cl 1.9909 1.2016 0.0002
Cl 0.7828 5.2871 6.8824
Pb 0.0021 0.0054 4.2973
Cl 4.7721 5.3876 8.5834
```

Results
The calculation puts the total energy at -3.738 eV/atom. The value obtained for the uncorrected formation energy is -1079 meV per atom. Its symmetry is No. 10. The calculated volume is 392.41 Å³/cell.

[12]
Crystalline KOs2PbCl at its relaxed geometry, computed with GGA-PBE.

The structure in extended XYZ format:
```
5
Lattice="-1.2030 4.8346 -1.2556 1.4048 -1.1948 -5.9462 -4.8585 -1.4323 -0.8600" Properties=species:S:1:pos:R:3 pbc="T T T"
Os -2.4293 -0.7162 -0.4300
Pb 0.0000 0.0000 0.0000
Cl 0.7024 -0.5974 -2.9731
K -2.3284 1.1037 -4.0309
Os -0.6015 2.4173 -0.6278
```

Results
The calculation puts the total energy at -4.248 eV/atom. The value obtained for the uncorrected formation energy is 1574 meV per atom. Its symmetry is No. 123. The calculated volume is 164.33 Å³/cell.

[13]
Crystalline KRb2OsCl6 at its relaxed geometry, computed with GGA-PBE.

The structure in extended XYZ format:
```
10
Lattice="-5.4784 -1.6527 -4.9476 -2.5724 -5.3858 4.6475 -7.2340 0.0502 2.2105" Properties=species:S:1:pos:R:3 pbc="T T T"
Cl -6.2614 -5.4741 -0.2334
K -4.0254 -3.5192 -0.1500
Cl -5.8076 -1.5366 1.1611
Rb -6.9159 -4.4274 3.3540
Rb -8.3689 -2.5609 -1.4435
Cl -1.7894 -1.5644 -0.0667
Os 0.0000 0.0000 0.0000
Cl -9.4772 -5.4517 0.7493
Cl -3.2183 -4.5561 2.5149
Cl -4.8325 -2.4824 -2.8150
```

Results
The calculation puts the total energy at -3.810 eV/atom. The value obtained for the uncorrected formation energy is -1275 meV per atom. Its symmetry is No. 225. The calculated volume is 306.07 Å³/cell.

[14]
Crystalline KRb2OsCl6 at its relaxed geometry, computed with GGA-PBE.

The structure in extended XYZ format:
```
20
Lattice="7.3143 0.0000 0.0000 0.0000 7.9561 0.0000 0.0000 0.0000 10.7066" Properties=species:S:1:pos:R:3 pbc="T T T"
Cl 5.3281 0.0317 5.3533
Cl 0.0000 6.2222 8.3239
K 0.0000 5.6737 5.3533
Os 3.6571 1.7355 5.3533
Cl 1.6710 7.9244 0.0000
Cl 3.6571 1.7339 7.7360
Cl 5.6433 7.9244 0.0000
Rb 3.6571 6.2793 2.4393
Rb 0.0000 1.6767 2.9140
Os 0.0000 6.2206 0.0000
Cl 0.0000 6.2222 2.3827
Cl 5.6256 4.5459 0.0000
Rb 0.0000 1.6767 7.7926
K 3.6571 2.2824 0.0000
Cl 3.6571 1.7339 2.9706
Cl 1.9862 0.0317 5.3533
Cl 5.3458 3.4101 5.3533
Cl 1.6887 4.5459 0.0000
Cl 1.9685 3.4101 5.3533
Rb 3.6571 6.2793 8.2673
```

Results
The calculation puts the total energy at -3.811 eV/atom. The value obtained for the uncorrected formation energy is -1277 meV per atom. Its symmetry is No. 59. The calculated volume is 623.05 Å³/cell.

[15]
Crystalline KRb2OsCl8 at its relaxed geometry, computed with GGA-PBE.

The structure in extended XYZ format:
```
12
Lattice="5.8379 -1.0996 -0.0020 -1.1168 7.6647 -0.0051 0.0042 0.0138 9.8209" Properties=species:S:1:pos:R:3 pbc="T T T"
Cl 2.6222 5.6001 9.8115
K 0.0021 0.0069 4.9104
Cl 2.1032 0.9788 0.0024
Rb 2.3721 3.2873 7.3004
Cl 5.1815 0.4113 8.1551
Cl 1.9003 5.2682 4.9101
Cl 2.8250 1.3107 4.9037
Cl -0.4491 6.1829 8.1522
Cl -0.4562 6.1676 1.6588
Os 0.0000 0.0000 0.0000
Rb 2.3532 3.2916 2.5135
Cl 5.1744 0.3960 1.6617
```

Results
The calculation puts the total energy at -3.563 eV/atom. The value obtained for the uncorrected formation energy is -1143 meV per atom. Its symmetry is No. 2. The calculated volume is 427.38 Å³/cell.

[16]
Crystalline K2RbOsCl8 at its relaxed geometry, computed with GGA-PBE.

The structure in extended XYZ format:
```
12
Lattice="-2.4433 -5.3651 0.8566 6.9231 -0.8551 -2.1532 2.9228 0.1610 9.2722" Properties=species:S:1:pos:R:3 pbc="T T T"
Rb 1.4614 0.0805 4.6361
K 3.0134 -3.0544 1.7515
Cl 7.8028 -0.9552 6.0260
K 4.3892 -3.0048 6.2241
Cl 0.3777 -2.2929 -0.0704
Cl 1.5323 -5.0089 8.0563
Os 0.0000 0.0000 0.0000
Cl 5.5170 -2.8313 3.4263
Cl 1.8856 -3.2278 4.5493
Cl 5.8703 -1.0503 -0.0807
Cl -0.4002 -5.1040 1.9496
Cl 7.0249 -3.7663 8.0460
```

Results
The calculation puts the total energy at -3.578 eV/atom. The value obtained for the uncorrected formation energy is -1148 meV per atom. Its symmetry is No. 2. The calculated volume is 399.79 Å³/cell.

[17]
Crystalline KOsRh2Cl at its relaxed geometry, computed with GGA-PBE.

The structure in extended XYZ format:
```
5
Lattice="4.6286 0.0000 0.0000 0.0000 7.0298 0.0000 0.0000 0.0000 4.6286" Properties=species:S:1:pos:R:3 pbc="T T T"
K 0.0000 3.5149 0.0000
Os 0.0000 0.0000 0.0000
Cl 2.3143 3.5149 2.3143
Rh 2.3143 0.0000 0.0000
Rh 0.0000 0.0000 2.3143
```

Results
The calculation puts the total energy at -4.994 eV/atom. The value obtained for the uncorrected formation energy is 782 meV per atom. Its symmetry is No. 123. The calculated volume is 150.60 Å³/cell.

[18]
Crystalline KOsSCl2 at its relaxed geometry, computed with GGA-PBE.

The structure in extended XYZ format:
```
5
Lattice="5.1737 0.0000 0.0000 0.0000 5.1737 0.0000 0.0000 0.0000 4.4047" Properties=species:S:1:pos:R:3 pbc="T T T"
S 0.0000 0.0000 2.2024
Cl 0.0000 2.5869 0.0000
Os 0.0000 0.0000 0.0000
Cl 2.5869 0.0000 0.0000
K 2.5869 2.5869 2.2024
```

Results
The calculation puts the total energy at -4.527 eV/atom. The value obtained for the uncorrected formation energy is -498 meV per atom. Its symmetry is No. 123. For the distance to the lowest polymorph of the same formula, the calculation gives 0.00 kcal/mol of atoms. The calculated volume is 117.90 Å³/cell.

[19]
Crystalline KOsSCl2 at its relaxed geometry, computed with GGA-PBE.

The structure in extended XYZ format:
```
5
Lattice="-3.0369 4.3687 1.5065 -2.1964 -2.9506 4.1288 4.1607 1.7082 3.4341" Properties=species:S:1:pos:R:3 pbc="T T T"
S 2.0804 0.8541 1.7171
K 0.0000 0.0000 0.0000
Os -0.5363 1.5631 4.5347
Cl -1.5185 2.1843 0.7532
Cl -1.0982 -1.4753 2.0644
```

Results
The calculation puts the total energy at -2.622 eV/atom. The value obtained for the uncorrected formation energy is 1408 meV per atom. Its symmetry is No. 123. For the distance to the lowest polymorph of the same formula, the calculation gives 43.95 kcal/mol of atoms. The calculated volume is 173.03 Å³/cell.

[20]
Crystalline KTlOsCl6 at its relaxed geometry, computed with GGA-PBE.

The structure in extended XYZ format:
```
9
Lattice="-0.1659 -5.8684 -2.3027 7.1062 -0.5614 0.9186 -4.4709 -1.9456 5.2804" Properties=species:S:1:pos:R:3 pbc="T T T"
Cl 1.7895 -4.3356 -1.3874
Cl 5.7812 -5.2643 0.6917
Os -0.0830 -2.9342 -1.1513
Tl 3.1642 -3.9570 1.2212
Cl 5.1486 -2.0995 0.0170
Cl 1.8161 -6.0149 2.8902
Cl 3.7827 -3.6687 4.1147
K -0.6119 -1.4842 3.8265
Cl 0.6671 -2.3588 1.0009
```

Results
The calculation puts the total energy at -3.746 eV/atom. The value obtained for the uncorrected formation energy is -883 meV per atom. Its symmetry is No. 149. The calculated volume is 282.12 Å³/cell.